Record 1
A geometry-optimized HgMoS2Cl structure, computed with PBE.

Geometry as POSCAR:
```
HgMoS2Cl
1.0
4.6948 0.0000 0.0000
0.0000 4.6948 0.0000
0.0000 0.0000 5.0131
Hg Mo S Cl
1 1 2 1
Direct
0.0000 0.0000 0.0000
0.5000 0.5000 0.5000
0.0000 0.5000 0.5000
0.5000 0.0000 0.5000
0.5000 0.5000 0.0000
```

## Properties
- SG = P4/mmm (123)
- energy above the most stable polymorph in this dataset (meV/atom) = 0
- uncorrected formation energy (eV/atom) = -0.113

Record 2
A geometry-optimized ThCdGaCu structure, computed with PBE.

Geometry as POSCAR:
```
ThCdGaCu
1.0
0.0000 3.4816 3.4816
3.4816 0.0000 3.4816
3.4816 3.4816 0.0000
Th Cd Ga Cu
1 1 1 1
Direct
0.0000 0.0000 0.0000
0.5000 0.5000 0.5000
0.2500 0.2500 0.2500
0.7500 0.7500 0.7500
```

## Properties
- SG = F-43m (216)
- energy of formation from the pure elements (kJ/mol of formula units) = -84

Record 3
A geometry-optimized AsRu2Pb structure, computed with PBE.

Geometry as POSCAR:
```
AsRu2Pb
1.0
3.0368 0.0000 0.0000
0.0000 3.7211 0.0000
-0.7133 0.0000 6.5733
As Ru Pb
1 2 1
Direct
0.0000 0.0000 0.0000
0.2267 0.5000 0.8156
0.7733 0.5000 0.1844
0.5000 0.0000 0.5000
```

## Properties
- SG = P2/m (10)
- energy above the most stable polymorph in this dataset (meV/atom) = 162
- energy of formation from the pure elements (kJ/mol of formula units) = 138

Record 4
A geometry-optimized Mn3CuMo structure, computed with PBE.

Geometry as POSCAR:
```
Mn3CuMo
1.0
4.5701 0.0000 0.0000
0.0000 4.5701 0.0000
0.0000 0.0000 4.5701
Mn Cu Mo
3 1 1
Direct
0.0000 0.0000 0.5000
0.0000 0.5000 0.0000
0.5000 0.0000 0.0000
0.5000 0.5000 0.5000
0.0000 0.0000 0.0000
```

## Properties
- SG = Pm-3m (221)
- energy above the most stable polymorph in this dataset (meV/atom) = 0
- energy of formation from the pure elements (kJ/mol of formula units) = 698

Question: What is the formula in the third record?
Answer: AsRu2Pb